Record 1
Here is a relaxed AlCd4W crystal from Alexandria via LeMat-Bulk. Energies are from PBE.

Lattice parameters (Å, degrees): 5.600 5.600 5.600 60.00 60.00 60.00
Last column: magnetic moment on the atom in μB.
Atoms (fractional coordinates):
Al (0.000, 0.000, 0.000)  -0.02
Cd (0.874, 0.375, 0.375)  0.01
Cd (0.375, 0.375, 0.874)  0.01
Cd (0.375, 0.874, 0.375)  0.01
Cd (0.375, 0.375, 0.375)  0.01
W (0.750, 0.750, 0.750)  2.07

Summary:
total magnetic moment: 2.94 μB/f.u.
ΔH_f (0 K): 0.78 eV/atom
uncorrected energy: -2.613 eV per atom
SG: F-43m, No. 216

***

Record 2
Here is a relaxed YTm2TaN4 crystal from Alexandria via LeMat-Bulk. Energies are from PBE.

Lattice parameters (Å, degrees): 3.316 5.772 5.757 109.14 90.00 90.00
Atoms (fractional coordinates):
Y (0.500, 0.500, 0.000)
Tm (0.500, 0.000, 0.500)
Tm (0.000, 0.500, 0.500)
Ta (0.000, 0.000, 0.000)
N (0.500, 0.231, 0.235)
N (0.500, 0.769, 0.765)
N (0.000, 0.233, 0.758)
N (0.000, 0.767, 0.242)

Summary:
raw formation energy: -1.59 eV/atom
total magnetic moment: 0.00 μB/f.u.
uncorrected energy: -9.159 eV per atom
SG: P2/m, No. 10

***

Record 3
Here is a relaxed CeNiHgRh crystal from Alexandria via LeMat-Bulk. Energies are from PBE.

Lattice parameters (Å, degrees): 4.723 4.723 4.723 60.00 60.00 60.00
Atoms (fractional coordinates):
Ni (0.250, 0.250, 0.250)
Rh (0.750, 0.750, 0.750)
Hg (0.500, 0.500, 0.500)
Ce (0.000, 0.000, 0.000)

Summary:
total magnetic moment: 0.00 μB/f.u.
ΔH_f (0 K): -0.32 eV/atom
uncorrected energy: -5.158 eV per atom
SG: F-43m, No. 216

***

Record 4
Here is a relaxed Y2HoTh3 crystal from Alexandria via LeMat-Bulk. Energies are from PBE.

Lattice parameters (Å, degrees): 6.723 11.329 7.632 137.92 90.00 90.00
Atoms (fractional coordinates):
Y (0.750, 0.437, 0.334)
Y (0.250, 0.563, 0.666)
Y (0.250, 0.898, 0.334)
Y (0.750, 0.102, 0.666)
Ho (0.250, 0.229, 0.000)
Ho (0.750, 0.771, 0.000)
Th (0.000, 0.166, 0.332)
Th (0.500, 0.834, 0.668)
Th (0.000, 0.500, 0.000)
Th (0.500, 0.500, 0.000)
Th (0.000, 0.834, 0.668)
Th (0.500, 0.166, 0.332)

Summary:
total magnetic moment: 0.00 μB/f.u.
ΔH_f (0 K): 0.18 eV/atom
uncorrected energy: -6.444 eV per atom
SG: Cmcm, No. 63

***

Record 5
Here is a relaxed Tl5Cd2Pb5 crystal from Alexandria via LeMat-Bulk. Energies are from PBE.

Lattice parameters (Å, degrees): 5.670 8.500 11.125 131.60 90.00 109.48
Atoms (fractional coordinates):
Tl (0.500, 0.000, 0.500)
Tl (0.245, 0.489, 0.077)
Tl (0.245, 0.491, 0.413)
Tl (0.755, 0.509, 0.587)
Tl (0.755, 0.511, 0.923)
Cd (0.000, 0.000, 0.668)
Cd (0.000, 0.000, 0.332)
Pb (0.764, 0.529, 0.265)
Pb (0.501, 0.001, 0.832)
Pb (0.499, 0.999, 0.168)
Pb (0.236, 0.471, 0.735)
Pb (0.000, 0.000, 0.000)

Summary:
total magnetic moment: 0.00 μB/f.u.
ΔH_f (0 K): 0.03 eV/atom
uncorrected energy: -2.650 eV per atom
SG: C2/m, No. 12

***

Record 6
Here is a relaxed ErGeS3 crystal from Alexandria via LeMat-Bulk. Energies are from PBE.

Lattice parameters (Å, degrees): 6.453 6.979 10.548 90.00 90.00 90.00
Atoms (fractional coordinates):
Er (0.074, 0.117, 0.724)
Er (0.426, 0.617, 0.724)
Er (0.574, 0.383, 0.224)
Er (0.926, 0.883, 0.224)
Ge (0.452, 0.908, 0.065)
Ge (0.548, 0.092, 0.565)
Ge (0.048, 0.408, 0.065)
Ge (0.952, 0.592, 0.565)
S (0.732, 0.123, 0.382)
S (0.753, 0.138, 0.056)
S (0.268, 0.877, 0.882)
S (0.247, 0.862, 0.556)
S (0.253, 0.362, 0.556)
S (0.755, 0.862, 0.684)
S (0.747, 0.638, 0.056)
S (0.745, 0.362, 0.684)
S (0.768, 0.623, 0.382)
S (0.232, 0.377, 0.882)
S (0.255, 0.638, 0.184)
S (0.245, 0.138, 0.184)

Summary:
raw formation energy: -1.04 eV/atom
total magnetic moment: 0.00 μB/f.u.
energy relative to the lowest polymorph listed for this composition: 0.26 eV per formula unit
uncorrected energy: -5.356 eV per atom
SG: Pna2_1, No. 33

***

Record 7
Here is a relaxed ZrOs2Se crystal from Alexandria via LeMat-Bulk. Energies are from PBE.

Lattice parameters (Å, degrees): 3.014 3.853 5.929 90.00 90.00 90.00
Atoms (fractional coordinates):
Os (0.000, 0.000, 0.049)
Os (0.500, 0.500, 0.205)
Se (0.000, 0.000, 0.504)
Zr (0.500, 0.500, 0.743)

Summary:
raw formation energy: 0.06 eV/atom
total magnetic moment: 0.00 μB/f.u.
uncorrected energy: -8.560 eV per atom
SG: Pmm2, No. 25

***

Record 8
Here is a relaxed AgOs2PbBr crystal from Alexandria via LeMat-Bulk. Energies are from PBE.

Lattice parameters (Å, degrees): 4.598 5.633 4.598 90.00 90.00 90.00
Last column: magnetic moment on the atom in μB.
Atoms (fractional coordinates):
Pb (0.000, 0.500, 0.000)  0.01
Os (0.000, 0.000, 0.500)  0.44
Os (0.500, 0.000, 0.000)  0.45
Br (0.000, 0.000, 0.000)  0.01
Ag (0.500, 0.500, 0.500)  0.01

Summary:
raw formation energy: 2.01 eV/atom
total magnetic moment: 1.00 μB/f.u.
uncorrected energy: -4.131 eV per atom
SG: P4/mmm, No. 123